Cu5Mo | meta-GGA SCAN | single point on PBEsol structure

Geometry as POSCAR:
```
Cu5Mo
1.0
2.539 0.000 0.000
0.000 2.539 0.000
0.000 0.000 11.142
Cu Mo
5 1
Direct
0.000 0.000 0.000
0.000 0.000 0.318
0.000 0.000 0.682
0.500 0.500 0.158
0.500 0.500 0.842
0.500 0.500 0.500
```

Calculated values
- formation energy (eV per atom) = 0.091



Ba2BiSb | meta-GGA SCAN | single point on PBEsol structure

Geometry as POSCAR:
```
Ba2BiSb
1.0
8.425 0.000 0.000
0.000 8.425 0.000
0.000 0.000 8.425
Ba Bi Sb
8 4 4
Direct
0.250 0.250 0.250
0.250 0.250 0.750
0.250 0.750 0.250
0.250 0.750 0.750
0.750 0.250 0.250
0.750 0.250 0.750
0.750 0.750 0.250
0.750 0.750 0.750
0.000 0.000 0.000
0.000 0.500 0.500
0.500 0.000 0.500
0.500 0.500 0.000
0.000 0.000 0.500
0.000 0.500 0.000
0.500 0.000 0.000
0.500 0.500 0.500
```

Calculated values
- ΔE_f (raw) (eV/atom) = -0.866
- relative energy among the computed polymorphs (meV/atom) = 0



LiYFe2 | meta-GGA SCAN | single point on PBEsol structure

Geometry as POSCAR:
```
LiYFe2
1.0
7.446 0.000 0.000
0.000 3.844 0.000
-2.201 0.000 4.637
Li Y Fe
2 2 4
Direct
0.000 0.000 0.000
0.500 0.500 0.000
0.000 0.500 0.500
0.500 0.000 0.500
0.208 0.500 0.100
0.292 0.000 0.900
0.708 0.000 0.100
0.792 0.500 0.900
```

Calculated values
- relative energy among the computed polymorphs (meV/atom) = 99
- formation energy (eV per atom) = 0.333



Cd2BSeCl | meta-GGA SCAN | single point on PBEsol structure

Geometry as POSCAR:
```
Cd2BSeCl
1.0
4.804 0.000 0.000
0.000 4.804 0.000
0.000 0.000 4.067
Cd B Se Cl
2 1 1 1
Direct
0.000 0.500 0.000
0.500 0.000 0.000
0.000 0.000 0.000
0.500 0.500 0.500
0.000 0.000 0.500
```

Calculated values
- ΔE_f (raw) (eV/atom) = 0.419